A relaxed MgH3Rh crystal. Source: Alexandria via LeMat-Bulk, functional PBE.

a b c (Å): 5.289 5.289 5.087
angles (deg): 96.39 96.39 37.64
Positions (direct):
Mg (0.119, 0.119, 0.341)
Mg (0.881, 0.881, 0.659)
H (0.189, 0.189, 0.921)
H (0.323, 0.323, 0.437)
H (0.448, 0.448, 0.832)
H (0.552, 0.552, 0.168)
H (0.677, 0.677, 0.563)
H (0.811, 0.811, 0.079)
Rh (0.372, 0.372, 0.130)
Rh (0.628, 0.628, 0.870)

Summary:
Uncorrected energy = -4.027 eV/atom
SG = No. 12
Crystal system = monoclinic

***

A relaxed SmEuNi4 crystal. Source: Alexandria via LeMat-Bulk, functional PBE.

a b c (Å): 5.141 5.141 5.141
angles (deg): 60.00 60.00 60.00
Positions (direct):
Sm (0.000, 0.000, 0.000)
Eu (0.750, 0.750, 0.750)
Ni (0.375, 0.375, 0.375)
Ni (0.375, 0.375, 0.875)
Ni (0.375, 0.875, 0.375)
Ni (0.875, 0.375, 0.375)

Summary:
Uncorrected energy = -6.629 eV/atom
SG = No. 216
Crystal system = cubic

***

A relaxed NaTmPb2Cl8 crystal. Source: Alexandria via LeMat-Bulk, functional PBE.

a b c (Å): 6.478 8.556 6.716
angles (deg): 90.00 90.45 90.00
Positions (direct):
Na (0.000, 0.000, 0.000)
Tm (0.000, 0.500, 0.000)
Pb (0.500, 0.246, 0.500)
Pb (0.500, 0.754, 0.500)
Cl (0.219, 0.272, 0.155)
Cl (0.219, 0.728, 0.155)
Cl (0.240, 0.500, 0.687)
Cl (0.274, 0.000, 0.670)
Cl (0.726, 0.000, 0.330)
Cl (0.760, 0.500, 0.313)
Cl (0.781, 0.272, 0.845)
Cl (0.781, 0.728, 0.845)

Summary:
SG = No. 10
Energy relative to the elements, uncorrected = -37.699 kcal/mol of atoms
Crystal system = monoclinic

***

A relaxed PrGdSc crystal. Source: Alexandria via LeMat-Bulk, functional PBE.

a b c (Å): 5.577 5.577 3.416
angles (deg): 90.00 90.00 120.00
Positions (direct):
Pr (0.000, 0.000, 0.000)
Gd (0.667, 0.333, 0.500)
Sc (0.333, 0.667, 0.500)

Summary:
Offset from the most stable computed form = 0.07 eV/f.u.
SG = No. 187
Crystal system = hexagonal

***

A relaxed Rb5O2F2 crystal. Source: Alexandria via LeMat-Bulk, functional PBE.

a b c (Å): 9.134 9.134 5.770
angles (deg): 90.00 90.00 143.82
Positions (direct):
Rb (0.000, 0.000, 0.000)
Rb (0.169, 0.831, 0.500)
Rb (0.319, 0.681, 0.000)
Rb (0.681, 0.319, 0.000)
Rb (0.831, 0.169, 0.500)
O (0.143, 0.857, 0.000)
O (0.857, 0.143, 0.000)
F (0.327, 0.673, 0.500)
F (0.673, 0.327, 0.500)

Summary:
SG = No. 65
Energy relative to the elements, uncorrected = -37.147 kcal/mol of atoms
Crystal system = orthorhombic

***

A relaxed La2PaOs2 crystal. Source: Alexandria via LeMat-Bulk, functional PBE.

a b c (Å): 5.910 5.910 8.199
angles (deg): 98.05 98.05 62.73
Positions (direct):
La (0.024, 0.274, 0.149)
La (0.274, 0.024, 0.649)
La (0.726, 0.976, 0.351)
La (0.976, 0.726, 0.851)
Pa (0.376, 0.624, 0.250)
Pa (0.624, 0.376, 0.750)
Os (0.239, 0.498, 0.494)
Os (0.498, 0.239, 0.994)
Os (0.502, 0.761, 0.006)
Os (0.761, 0.502, 0.506)

Summary:
Uncorrected energy = -8.599 eV/atom
SG = No. 15
Crystal system = monoclinic

***

A relaxed Tb5Sm6Sc crystal. Source: Alexandria via LeMat-Bulk, functional PBE.

a b c (Å): 9.443 9.443 9.443
angles (deg): 148.93 115.61 73.22
Positions (direct):
Tb (0.000, 0.000, 0.000)
Tb (0.166, 0.666, 0.500)
Tb (0.335, 0.335, 0.000)
Tb (0.665, 0.665, 0.000)
Tb (0.834, 0.334, 0.500)
Sm (0.087, 0.834, 0.252)
Sm (0.254, 0.500, 0.754)
Sm (0.418, 0.166, 0.252)
Sm (0.582, 0.834, 0.748)
Sm (0.746, 0.500, 0.246)
Sm (0.913, 0.166, 0.748)
Sc (0.500, 0.000, 0.500)

Summary:
Uncorrected energy = -4.792 eV/atom
SG = No. 71
Crystal system = orthorhombic

***

A relaxed Zr3P3Pd4 crystal. Source: Alexandria via LeMat-Bulk, functional PBE.

a b c (Å): 16.532 3.854 10.075
angles (deg): 90.00 90.00 90.00
Positions (direct):
Zr (0.048, 0.250, 0.116)
Zr (0.061, 0.750, 0.589)
Zr (0.239, 0.250, 0.977)
Zr (0.261, 0.750, 0.477)
Zr (0.439, 0.250, 0.089)
Zr (0.452, 0.750, 0.616)
Zr (0.548, 0.250, 0.384)
Zr (0.561, 0.750, 0.911)
Zr (0.739, 0.250, 0.523)
Zr (0.761, 0.750, 0.023)
Zr (0.939, 0.250, 0.411)
Zr (0.952, 0.750, 0.884)
P (0.045, 0.750, 0.319)
P (0.114, 0.750, 0.963)
P (0.177, 0.250, 0.611)
P (0.323, 0.750, 0.111)
P (0.386, 0.250, 0.463)
P (0.455, 0.250, 0.819)
P (0.545, 0.750, 0.181)
P (0.614, 0.750, 0.537)
P (0.677, 0.250, 0.889)
P (0.823, 0.750, 0.389)
P (0.886, 0.250, 0.037)
P (0.955, 0.250, 0.681)
Pd (0.082, 0.250, 0.817)
Pd (0.128, 0.250, 0.383)
Pd (0.176, 0.750, 0.189)
Pd (0.207, 0.750, 0.764)
Pd (0.293, 0.250, 0.264)
Pd (0.324, 0.250, 0.689)
Pd (0.372, 0.750, 0.883)
Pd (0.418, 0.750, 0.317)
Pd (0.582, 0.250, 0.683)
Pd (0.628, 0.250, 0.117)
Pd (0.676, 0.750, 0.311)
Pd (0.707, 0.750, 0.736)
Pd (0.793, 0.250, 0.236)
Pd (0.824, 0.250, 0.811)
Pd (0.872, 0.750, 0.617)
Pd (0.918, 0.750, 0.183)

Summary:
Uncorrected energy = -7.301 eV/atom
SG = No. 62
Crystal system = orthorhombic

***

A relaxed SrMg2Ru crystal. Source: Alexandria via LeMat-Bulk, functional PBE.

a b c (Å): 3.552 3.552 7.655
angles (deg): 90.00 90.00 90.00
Positions (direct):
Sr (0.000, 0.000, 0.000)
Mg (0.000, 0.000, 0.600)
Mg (0.500, 0.500, 0.373)
Ru (0.500, 0.500, 0.728)

Summary:
Uncorrected energy = -3.387 eV/atom
SG = No. 99
Crystal system = tetragonal

***

A relaxed HgPb2OF crystal. Source: Alexandria via LeMat-Bulk, functional PBE.

a b c (Å): 5.600 5.600 4.479
angles (deg): 90.00 90.00 90.00
Positions (direct):
Hg (0.000, 0.000, 0.000)
Pb (0.000, 0.500, 0.000)
Pb (0.500, 0.000, 0.000)
O (0.500, 0.500, 0.500)
F (0.000, 0.000, 0.500)

Summary:
SG = No. 123
Energy relative to the elements, uncorrected = 3.197 kcal/mol of atoms
Crystal system = tetragonal

***

A relaxed Er3In2Au2 crystal. Source: Alexandria via LeMat-Bulk, functional PBE.

a b c (Å): 11.066 11.066 3.502
angles (deg): 90.00 90.00 156.79
Positions (direct):
Er (0.000, 0.000, 0.000)
Er (0.166, 0.834, 0.000)
Er (0.834, 0.166, 0.000)
In (0.423, 0.577, 0.500)
In (0.577, 0.423, 0.500)
Au (0.289, 0.711, 0.500)
Au (0.711, 0.289, 0.500)

Summary:
Uncorrected energy = -4.322 eV/atom
SG = No. 65
Crystal system = orthorhombic

***

A relaxed Tl2SnPb2 crystal. Source: Alexandria via LeMat-Bulk, functional PBE.

a b c (Å): 5.644 3.311 8.703
angles (deg): 90.00 108.15 90.00
Positions (direct):
Tl (0.105, 0.000, 0.204)
Tl (0.895, 0.000, 0.796)
Sn (0.500, 0.500, 0.000)
Pb (0.301, 0.500, 0.605)
Pb (0.699, 0.500, 0.395)

Summary:
Offset from the most stable computed form = 0.13 eV/f.u.
SG = No. 10
Crystal system = monoclinic

***

A relaxed ZrClF2 crystal. Source: Alexandria via LeMat-Bulk, functional PBE.

a b c (Å): 4.193 4.193 4.193
angles (deg): 60.00 60.00 60.00
Positions (direct):
Zr (0.000, 0.000, 0.000)
Cl (0.500, 0.500, 0.500)
F (0.250, 0.250, 0.250)
F (0.750, 0.750, 0.750)

Summary:
Offset from the most stable computed form = 1.59 eV/f.u.
SG = No. 225
Energy relative to the elements, uncorrected = -44.773 kcal/mol of atoms
Crystal system = cubic

***

A relaxed H2RuAu2 crystal. Source: Alexandria via LeMat-Bulk, functional PBE.

a b c (Å): 5.540 5.540 4.047
angles (deg): 90.00 90.00 90.00
Positions (direct):
H (0.244, 0.256, 0.000)
H (0.256, 0.756, 0.000)
H (0.744, 0.244, 0.000)
H (0.756, 0.744, 0.000)
Ru (0.000, 0.000, 0.000)
Ru (0.500, 0.500, 0.000)
Au (0.240, 0.260, 0.500)
Au (0.260, 0.760, 0.500)
Au (0.740, 0.240, 0.500)
Au (0.760, 0.740, 0.500)

Summary:
Uncorrected energy = -4.191 eV/atom
SG = No. 127
Crystal system = tetragonal

***

A relaxed NaThGa2Au2 crystal. Source: Alexandria via LeMat-Bulk, functional PBE.

a b c (Å): 4.609 4.609 7.144
angles (deg): 90.00 90.00 120.00
Positions (direct):
Na (0.000, 0.000, 0.000)
Th (0.000, 0.000, 0.500)
Ga (0.333, 0.667, 0.238)
Ga (0.667, 0.333, 0.762)
Au (0.333, 0.667, 0.742)
Au (0.667, 0.333, 0.258)

Summary:
Uncorrected energy = -4.032 eV/atom
SG = No. 164
Crystal system = trigonal

***

A relaxed K2In4Ni crystal. Source: Alexandria via LeMat-Bulk, functional PBE.

a b c (Å): 10.257 10.257 10.257
angles (deg): 151.80 151.80 40.31
Positions (direct):
K (0.173, 0.173, 0.000)
K (0.827, 0.827, 0.000)
In (0.000, 0.500, 0.500)
In (0.370, 0.370, 0.000)
In (0.500, 0.000, 0.500)
In (0.630, 0.630, 0.000)
Ni (0.500, 0.500, 0.000)

Summary:
Uncorrected energy = -2.742 eV/atom
SG = No. 139
Crystal system = tetragonal

***

A relaxed La2C4O crystal. Source: Alexandria via LeMat-Bulk, functional PBE.

a b c (Å): 6.388 6.388 6.388
angles (deg): 140.17 140.17 57.60
Positions (direct):
La (0.142, 0.142, 0.000)
La (0.858, 0.858, 0.000)
C (0.000, 0.500, 0.500)
C (0.381, 0.381, 0.000)
C (0.500, 0.000, 0.500)
C (0.619, 0.619, 0.000)
O (0.500, 0.500, 0.000)

Summary:
SG = No. 139
Energy relative to the elements, uncorrected = 32.389 kcal/mol of atoms
Crystal system = tetragonal

***

A relaxed LaPm2Dy3 crystal. Source: Alexandria via LeMat-Bulk, functional PBE.

a b c (Å): 7.035 7.035 9.608
angles (deg): 90.00 90.00 120.00
Positions (direct):
La (0.333, 0.667, 0.423)
La (0.667, 0.333, 0.577)
Pm (0.000, 0.000, 0.000)
Pm (0.000, 0.000, 0.500)
Pm (0.333, 0.667, 0.076)
Pm (0.667, 0.333, 0.924)
Dy (0.184, 0.368, 0.754)
Dy (0.184, 0.816, 0.754)
Dy (0.368, 0.184, 0.246)
Dy (0.632, 0.816, 0.754)
Dy (0.816, 0.184, 0.246)
Dy (0.816, 0.632, 0.246)

Summary:
Offset from the most stable computed form = 0.82 eV/f.u.
SG = No. 164
Crystal system = trigonal

***

A relaxed Zr2TaHg crystal. Source: Alexandria via LeMat-Bulk, functional PBE.

a b c (Å): 2.978 2.978 9.488
angles (deg): 90.00 90.00 90.00
Positions (direct):
Zr (0.000, 0.000, 0.000)
Zr (0.500, 0.500, 0.269)
Ta (0.500, 0.500, 0.756)
Hg (0.000, 0.000, 0.518)

Summary:
Uncorrected energy = -7.194 eV/atom
SG = No. 99
Crystal system = tetragonal

***

A relaxed CdSnSb2 crystal. Source: Alexandria via LeMat-Bulk, functional PBE.

a b c (Å): 8.052 8.052 8.052
angles (deg): 131.44 131.44 71.12
Positions (direct):
Cd (0.000, 0.000, 0.000)
Cd (0.750, 0.250, 0.500)
Sn (0.250, 0.750, 0.500)
Sn (0.500, 0.500, 0.000)
Sb (0.123, 0.625, 0.998)
Sb (0.375, 0.373, 0.498)
Sb (0.627, 0.125, 0.002)
Sb (0.875, 0.877, 0.502)

Summary:
Offset from the most stable computed form = 0.00 eV/f.u.
SG = No. 122
Energy relative to the elements, uncorrected = -1.017 kcal/mol of atoms
Crystal system = tetragonal

***

In the order shown, the computed N(E_F) values come out to 0.14, 2.33, 0.00, 1.68, 0.05, 1.09, 1.35, 0.46, 0.58, 0.37, 0.75, 0.38, 0.54, 0.52, 0.79, 0.72, 0.77, 1.62, 1.25, 0.00 states/eV/atom.